# 1
Below is crystalline TcRuPb at its relaxed geometry, with properties calculated at the PBE level.

Results
volume: 19.655 Å³ per atom

Cell: 4.369 4.369 4.369 Å, 60.00 60.00 60.00°
Sites, in units of the cell vectors:
Ru1 0.750 0.750 0.750
Pb1 0.500 0.500 0.500
Tc1 0.000 0.000 0.000

=====

# 2
Below is crystalline BaZr3Ir at its relaxed geometry, with properties calculated at the PBE level.

Results
volume: 28.821 Å³ per atom

Cell: 5.243 5.243 5.243 Å, 90.00 90.00 90.00°
Sites, in units of the cell vectors:
Ir1 0.000 0.000 0.000
Ba1 0.500 0.500 0.500
Zr1 0.500 0.000 0.000
Zr2 0.000 0.500 0.000
Zr3 0.000 0.000 0.500

=====

Q: Which DFT formation energy values were calculated for the entries above? A: 1.72, 0.58, in eV/f.u..